Computed, not measured: LiTlO after structural relaxation at the GGA-PBE level of DFT.

Calculated values
Its space group is Pnma (62). The value obtained for the total energy is -4.181 eV/atom. The uncorrected formation energy comes out at -1101.6 meV/atom. The calculation puts the energy above the most stable polymorph in this dataset at 106 meV/atom. The value obtained for the mass density is 7.0 g cm⁻³.

Geometry as POSCAR:
```
LiTlO
1.0
5.716 0.000 0.000
0.000 3.370 0.000
0.000 0.000 11.166
Li Tl O
4 4 4
Direct
0.073 0.250 0.060 Li
0.427 0.750 0.560 Li
0.573 0.250 0.440 Li
0.927 0.750 0.940 Li
0.030 0.250 0.358 Tl
0.470 0.750 0.858 Tl
0.530 0.250 0.142 Tl
0.970 0.750 0.642 Tl
0.229 0.750 0.031 O
0.271 0.250 0.531 O
0.729 0.750 0.469 O
0.771 0.250 0.969 O
```